[1]
# TlSbTe2

Crystalline TlSbTe2 at its relaxed geometry (GGA-PBE, the Alexandria database).

a b c (Å): 5.526 5.526 5.526
angles (deg): 60.00 60.00 60.00
Fractional positions:
Tl1 0.000 0.000 0.000
Sb1 0.500 0.500 0.500
Te1 0.250 0.250 0.250
Te2 0.750 0.750 0.750

Summary:
- final energy (Ry per atom) = -0.229
- space-group type = No. 225
- relative energy among the computed polymorphs (meV/atom) = 309
- formation energy from raw total energies (eV per atom) = 0.079

=====

[2]
# CsTl2Hg2

Crystalline CsTl2Hg2 at its relaxed geometry (GGA-PBE, the Alexandria database).

a b c (Å): 9.663 9.663 3.687
angles (deg): 90.00 90.00 90.00
Fractional positions:
Cs1 0.000 0.000 0.000
Cs2 0.500 0.500 0.000
Tl1 0.128 0.372 0.000
Tl2 0.372 0.872 0.000
Tl3 0.628 0.128 0.000
Tl4 0.872 0.628 0.000
Hg1 0.162 0.662 0.500
Hg2 0.338 0.162 0.500
Hg3 0.662 0.838 0.500
Hg4 0.838 0.338 0.500

Summary:
- final energy (Ry per atom) = -0.097
- space-group type = No. 127
- formation energy from the elements (meV/atom) = -81
- relative energy among the computed polymorphs (meV/atom) = 59

=====

[3]
# Lu2AuO

Crystalline Lu2AuO at its relaxed geometry (GGA-PBE, the Alexandria database).

a b c (Å): 7.368 7.368 7.368
angles (deg): 33.95 33.95 33.95
Fractional positions:
Lu1 0.095 0.095 0.095
Lu2 0.905 0.905 0.905
Au1 0.500 0.500 0.500
O1 0.000 0.000 0.000

Summary:
- final energy (Ry per atom) = -0.434
- space-group type = No. 166
- formation energy from raw total energies (eV per atom) = -1.584

=====

[4]
# La4PrPt4

Crystalline La4PrPt4 at its relaxed geometry (GGA-PBE, the Alexandria database).

a b c (Å): 7.349 7.349 7.349
angles (deg): 99.48 99.48 132.11
Fractional positions:
La1 0.103 0.309 0.412
La2 0.309 0.897 0.206
La3 0.691 0.103 0.794
La4 0.897 0.691 0.588
Pr1 0.500 0.500 0.000
Pt1 0.204 0.602 0.806
Pt2 0.398 0.204 0.601
Pt3 0.602 0.796 0.399
Pt4 0.796 0.398 0.194

Summary:
- final energy (Ry per atom) = -0.474
- space-group type = No. 87
- formation energy from the elements (meV/atom) = -1043

=====

[5]
# Sm5ErPt6

Crystalline Sm5ErPt6 at its relaxed geometry (GGA-PBE, the Alexandria database).

a b c (Å): 8.723 8.723 5.037
angles (deg): 106.49 106.49 47.49
Fractional positions:
Sm1 0.000 0.000 0.000
Sm2 0.166 0.166 0.667
Sm3 0.333 0.333 0.333
Sm4 0.667 0.667 0.667
Sm5 0.834 0.834 0.333
Er1 0.500 0.500 0.000
Pt1 0.094 0.584 0.839
Pt2 0.258 0.742 0.500
Pt3 0.416 0.906 0.161
Pt4 0.584 0.094 0.839
Pt5 0.742 0.258 0.500
Pt6 0.906 0.416 0.161

Summary:
- final energy (Ry per atom) = -0.478
- space-group type = No. 12
- formation energy from the elements (meV/atom) = -1131

=====

[6]
# ZnRuRh

Crystalline ZnRuRh at its relaxed geometry (GGA-PBE, the Alexandria database).

a b c (Å): 5.960 5.960 5.960
angles (deg): 153.42 153.42 37.94
Fractional positions:
Zn1 0.000 0.000 0.000
Ru1 0.672 0.672 0.000
Rh1 0.329 0.329 0.000

Summary:
- final energy (Ry per atom) = -0.444
- space-group type = No. 107
- formation energy from the elements (meV/atom) = -75
- relative energy among the computed polymorphs (meV/atom) = 0

=====

[7]
# LiTeOs

Crystalline LiTeOs at its relaxed geometry (GGA-PBE, the Alexandria database).

a b c (Å): 4.312 4.312 4.312
angles (deg): 60.00 60.00 60.00
Fractional positions:
Li1 0.000 0.000 0.000
Te1 0.500 0.500 0.500
Os1 0.250 0.250 0.250

Summary:
- final energy (Ry per atom) = -0.379
- space-group type = No. 216
- relative energy among the computed polymorphs (meV/atom) = 57
- formation energy from raw total energies (eV per atom) = 0.269

=====

[8]
# SrP2Br

Crystalline SrP2Br at its relaxed geometry (GGA-PBE, the Alexandria database).

a b c (Å): 5.139 5.139 5.139
angles (deg): 60.00 60.00 60.00
Fractional positions:
Sr1 0.000 0.000 0.000
P1 0.250 0.250 0.250
P2 0.500 0.500 0.500
Br1 0.750 0.750 0.750

Summary:
- final energy (Ry per atom) = -0.267
- space-group type = No. 216
- relative energy among the computed polymorphs (meV/atom) = 733
- formation energy from raw total energies (eV per atom) = -0.094

=====

[9]
# TiTeAuO6

Crystalline TiTeAuO6 at its relaxed geometry (GGA-PBE, the Alexandria database).

a b c (Å): 5.258 5.258 9.622
angles (deg): 90.00 90.00 120.00
Fractional positions:
Ti1 0.333 0.667 0.250
Ti2 0.667 0.333 0.750
Te1 0.333 0.667 0.750
Te2 0.667 0.333 0.250
Au1 0.000 0.000 0.000
Au2 0.000 0.000 0.500
O1 0.004 0.372 0.640
O2 0.004 0.632 0.860
O3 0.368 0.372 0.860
O4 0.368 0.996 0.640
O5 0.372 0.004 0.140
O6 0.372 0.368 0.360
O7 0.628 0.632 0.640
O8 0.628 0.996 0.860
O9 0.632 0.004 0.360
O10 0.632 0.628 0.140
O11 0.996 0.368 0.140
O12 0.996 0.628 0.360

Summary:
- final energy (Ry per atom) = -0.453
- space-group type = No. 163
- formation energy from raw total energies (eV per atom) = -1.270

=====

[10]
# Cs12Bi3Au5

Crystalline Cs12Bi3Au5 at its relaxed geometry (GGA-PBE, the Alexandria database).

a b c (Å): 18.952 18.952 18.952
angles (deg): 109.47 109.47 109.47
Fractional positions:
Cs1 0.048 0.220 0.135
Cs2 0.048 0.328 0.913
Cs3 0.085 0.720 0.672
Cs4 0.085 0.865 0.413
Cs5 0.087 0.635 0.415
Cs6 0.087 0.952 0.672
Cs7 0.135 0.048 0.220
Cs8 0.135 0.587 0.915
Cs9 0.172 0.220 0.585
Cs10 0.172 0.452 0.587
Cs11 0.220 0.135 0.048
Cs12 0.220 0.585 0.172
Cs13 0.280 0.328 0.915
Cs14 0.280 0.452 0.365
Cs15 0.328 0.913 0.048
Cs16 0.328 0.915 0.280
Cs17 0.365 0.280 0.452
Cs18 0.365 0.585 0.913
Cs19 0.413 0.085 0.865
Cs20 0.413 0.828 0.548
Cs21 0.415 0.087 0.635
Cs22 0.415 0.828 0.780
Cs23 0.452 0.365 0.280
Cs24 0.452 0.587 0.172
Cs25 0.548 0.413 0.828
Cs26 0.548 0.635 0.720
Cs27 0.585 0.172 0.220
Cs28 0.585 0.913 0.365
Cs29 0.587 0.172 0.452
Cs30 0.587 0.915 0.135
Cs31 0.635 0.415 0.087
Cs32 0.635 0.720 0.548
Cs33 0.672 0.085 0.720
Cs34 0.672 0.087 0.952
Cs35 0.720 0.548 0.635
Cs36 0.720 0.672 0.085
Cs37 0.780 0.415 0.828
Cs38 0.780 0.865 0.952
Cs39 0.828 0.548 0.413
Cs40 0.828 0.780 0.415
Cs41 0.865 0.413 0.085
Cs42 0.865 0.952 0.780
Cs43 0.913 0.048 0.328
Cs44 0.913 0.365 0.585
Cs45 0.915 0.135 0.587
Cs46 0.915 0.280 0.328
Cs47 0.952 0.672 0.087
Cs48 0.952 0.780 0.865
Bi1 0.125 0.250 0.375
Bi2 0.125 0.375 0.750
Bi3 0.250 0.375 0.125
Bi4 0.250 0.875 0.625
Bi5 0.375 0.125 0.250
Bi6 0.375 0.750 0.125
Bi7 0.625 0.250 0.875
Bi8 0.625 0.875 0.750
Bi9 0.750 0.125 0.375
Bi10 0.750 0.625 0.875
Bi11 0.875 0.625 0.250
Bi12 0.875 0.750 0.625
Au1 0.000 0.000 0.000
Au2 0.000 0.000 0.500
Au3 0.000 0.500 0.000
Au4 0.000 0.500 0.500
Au5 0.125 0.750 0.875
Au6 0.125 0.875 0.250
Au7 0.250 0.125 0.875
Au8 0.250 0.625 0.375
Au9 0.375 0.250 0.625
Au10 0.375 0.625 0.750
Au11 0.500 0.000 0.000
Au12 0.500 0.000 0.500
Au13 0.500 0.500 0.000
Au14 0.500 0.500 0.500
Au15 0.625 0.375 0.250
Au16 0.625 0.750 0.375
Au17 0.750 0.375 0.625
Au18 0.750 0.875 0.125
Au19 0.875 0.125 0.750
Au20 0.875 0.250 0.125

Summary:
- final energy (Ry per atom) = -0.160
- space-group type = No. 230
- formation energy from the elements (meV/atom) = -259

=====

[11]
# CdSb2Cl

Crystalline CdSb2Cl at its relaxed geometry (GGA-PBE, the Alexandria database).

a b c (Å): 3.364 4.171 7.497
angles (deg): 90.00 90.00 90.00
Fractional positions:
Cd1 0.000 0.000 0.000
Sb1 0.500 0.500 0.212
Sb2 0.500 0.500 0.788
Cl1 0.000 0.000 0.500

Summary:
- final energy (Ry per atom) = -0.202
- space-group type = No. 47
- relative energy among the computed polymorphs (meV/atom) = 294
- formation energy from raw total energies (eV per atom) = 0.010

=====

[12]
# TlNiW2

Crystalline TlNiW2 at its relaxed geometry (GGA-PBE, the Alexandria database).

a b c (Å): 5.138 5.138 2.804
angles (deg): 90.00 90.00 117.20
Fractional positions:
Tl1 0.000 0.000 0.000
Ni1 0.500 0.500 0.000
W1 0.000 0.500 0.500
W2 0.500 0.000 0.500

Summary:
- final energy (Ry per atom) = -0.567
- space-group type = No. 65
- formation energy from the elements (meV/atom) = 796
- relative energy among the computed polymorphs (meV/atom) = 304

=====

[13]
# Ac2GaNi6B

Crystalline Ac2GaNi6B at its relaxed geometry (GGA-PBE, the Alexandria database).

a b c (Å): 5.580 5.580 5.970
angles (deg): 90.00 90.00 120.00
Fractional positions:
Ac1 0.333 0.667 0.310
Ac2 0.667 0.333 0.690
Ga1 0.000 0.000 0.500
Ni1 0.179 0.359 0.828
Ni2 0.179 0.821 0.828
Ni3 0.359 0.179 0.172
Ni4 0.641 0.821 0.828
Ni5 0.821 0.179 0.172
Ni6 0.821 0.641 0.172
B1 0.000 0.000 0.000

Summary:
- final energy (Ry per atom) = -0.409
- space-group type = No. 164
- formation energy from the elements (meV/atom) = -300

=====

[14]
# MoIrOs2

Crystalline MoIrOs2 at its relaxed geometry (GGA-PBE, the Alexandria database).

a b c (Å): 4.762 4.762 4.771
angles (deg): 99.84 99.84 33.56
Fractional positions:
Mo1 0.000 0.000 0.000
Ir1 0.500 0.500 0.500
Os1 0.250 0.250 0.750
Os2 0.750 0.750 0.250

Summary:
- final energy (Ry per atom) = -0.774
- space-group type = No. 12
- formation energy from the elements (meV/atom) = 2
- relative energy among the computed polymorphs (meV/atom) = 102

=====

[15]
# CsKSiAu2

Crystalline CsKSiAu2 at its relaxed geometry (GGA-PBE, the Alexandria database).

a b c (Å): 5.026 5.026 6.041
angles (deg): 90.00 90.00 90.00
Fractional positions:
Cs1 0.000 0.000 0.000
K1 0.500 0.500 0.000
Si1 0.500 0.500 0.500
Au1 0.000 0.500 0.500
Au2 0.500 0.000 0.500

Summary:
- final energy (Ry per atom) = -0.209
- space-group type = No. 123
- formation energy from raw total energies (eV per atom) = -0.058

=====

[16]
# Ba6Sr3Ac

Crystalline Ba6Sr3Ac at its relaxed geometry (GGA-PBE, the Alexandria database).

a b c (Å): 12.011 6.832 14.538
angles (deg): 90.00 104.78 90.00
Fractional positions:
Ba1 0.049 0.250 0.401
Ba2 0.155 0.750 0.198
Ba3 0.256 0.250 0.002
Ba4 0.351 0.250 0.301
Ba5 0.354 0.750 0.805
Ba6 0.450 0.250 0.606
Ba7 0.550 0.750 0.394
Ba8 0.646 0.250 0.195
Ba9 0.649 0.750 0.699
Ba10 0.744 0.750 0.998
Ba11 0.845 0.250 0.802
Ba12 0.951 0.750 0.599
Sr1 0.053 0.750 0.901
Sr2 0.152 0.250 0.705
Sr3 0.252 0.750 0.501
Sr4 0.748 0.250 0.499
Sr5 0.848 0.750 0.295
Sr6 0.947 0.250 0.099
Ac1 0.453 0.750 0.095
Ac2 0.547 0.250 0.905

Summary:
- final energy (Ry per atom) = -0.149
- space-group type = No. 11
- formation energy from the elements (meV/atom) = 36
- relative energy among the computed polymorphs (meV/atom) = 0